Record 1
# Pm6Pr2ErMg

An optimized crystal structure of Pm6Pr2ErMg (PBE, Alexandria).

## Properties
calculated formation energy	108	meV/atom
volume	672.08	Å³/cell
spin magnetization	0.00	μB per formula unit

abc: 9.838 8.790 8.790
angles: 116.23 95.12 95.12
Atoms (fractional coordinates):
Er: 0.250 0.986 0.014
Er: 0.750 0.014 0.986
Pm: 0.193 0.574 0.005
Pm: 0.552 0.750 0.122
Pm: 0.052 0.122 0.750
Pm: 0.115 0.702 0.501
Pm: 0.807 0.426 0.995
Pm: 0.615 0.501 0.702
Pm: 0.885 0.298 0.499
Pm: 0.693 0.005 0.574
Pm: 0.385 0.499 0.298
Pm: 0.448 0.250 0.878
Pm: 0.948 0.878 0.250
Pm: 0.307 0.995 0.426
Pr: 0.049 0.294 0.201
Pr: 0.451 0.799 0.706
Pr: 0.951 0.706 0.799
Pr: 0.549 0.201 0.294
Mg: 0.250 0.405 0.595
Mg: 0.750 0.595 0.405

Record 2
# FeCoRu2

An optimized crystal structure of FeCoRu2 (PBE, Alexandria).

## Properties
calculated formation energy	313	meV/atom
volume	52.69	Å³/cell
spin magnetization	5.83	μB per formula unit

abc: 4.208 4.208 4.208
angles: 59.99 59.99 60.00
Site moments in Bohr magnetons follow the coordinates.
Atoms (fractional coordinates):
Fe: 0.500 0.500 0.500  2.81
Ru: 0.250 0.250 0.250  0.62
Ru: 0.000 0.000 0.000  0.61
Co: 0.750 0.750 0.750  1.82

Record 3
# KHf4Se8

An optimized crystal structure of KHf4Se8 (PBE, Alexandria).

## Properties
raw formation energy	-1400	meV per atom
volume	407.79	Å³/cell
spin magnetization	0.00	μB per formula unit

abc: 7.517 7.517 9.396
angles: 66.42 66.42 60.00
Atoms (fractional coordinates):
Se: 0.771 0.268 0.191
Se: 0.270 0.270 0.190
Se: 0.229 0.732 0.809
Se: 0.229 0.229 0.809
Se: 0.268 0.771 0.191
Se: 0.771 0.771 0.191
Se: 0.730 0.730 0.810
Se: 0.732 0.229 0.809
Hf: 0.500 0.500 0.000
Hf: 0.000 0.500 0.000
Hf: 0.500 0.000 0.000
Hf: 0.000 0.000 0.000
K: 0.500 0.500 0.500

Record 4
# NaCd2Pt2

An optimized crystal structure of NaCd2Pt2 (PBE, Alexandria).

## Properties
calculated formation energy	-315	meV/atom
volume	196.71	Å³/cell
spin magnetization	0.00	μB per formula unit

abc: 8.150 8.150 2.961
angles: 90.00 90.00 90.00
Atoms (fractional coordinates):
Na: 0.000 0.000 0.000
Na: 0.500 0.500 0.000
Cd: 0.364 0.864 0.000
Cd: 0.864 0.636 0.000
Cd: 0.136 0.364 0.000
Cd: 0.636 0.136 0.000
Pt: 0.839 0.339 0.500
Pt: 0.339 0.161 0.500
Pt: 0.161 0.661 0.500
Pt: 0.661 0.839 0.500

Which of these has the lowest volume?
FeCoRu2

The highest spin magnetization belongs to which entry?
FeCoRu2

Which of these has the highest spin magnetization?
FeCoRu2